OsC2Cl2 (PBEsol, optimized geometry); formation energy without anion corrections = 799 kJ/mol of formula units; space group = I4/mmm (139)
1.0
5.8161 0.0000 0.0000
0.0000 5.8161 0.0000
0.0000 0.0000 5.1241
Os C Cl
2 4 4
Cartesian
0.0000 0.0000 0.0000 Os
2.9080 2.9080 2.5620 Os
0.0000 0.0000 1.9110 C
0.0000 0.0000 3.2131 C
2.9080 2.9080 0.6511 C
2.9080 2.9080 4.4730 C
0.0000 2.9080 1.2810 Cl
0.0000 2.9080 3.8431 Cl
2.9080 0.0000 1.2810 Cl
2.9080 0.0000 3.8431 Cl

=====

OsCSeCl2 (PBEsol, optimized geometry); formation energy without anion corrections = 1182 kJ/mol of formula units; space group = P4/mmm (123)
1.0
4.9796 0.0000 0.0000
0.0000 4.9796 0.0000
0.0000 0.0000 4.6091
Os C Se Cl
1 1 1 2
Cartesian
0.0000 0.0000 0.0000 Os
2.4898 2.4898 0.0000 C
0.0000 0.0000 2.3046 Se
0.0000 2.4898 2.3046 Cl
2.4898 0.0000 2.3046 Cl

=====

TcOs2CCl (PBEsol, optimized geometry); formation energy without anion corrections = 701 kJ/mol of formula units; space group = P4/mmm (123)
1.0
3.8674 0.0000 0.0000
0.0000 3.8674 0.0000
0.0000 0.0000 4.8358
Tc Os C Cl
1 2 1 1
Cartesian
0.0000 0.0000 0.0000 Tc
0.0000 1.9337 2.4179 Os
1.9337 0.0000 2.4179 Os
1.9337 1.9337 2.4179 C
1.9337 1.9337 0.0000 Cl

=====

ZrOsCCl2 (PBEsol, optimized geometry); formation energy without anion corrections = 408 kJ/mol of formula units; space group = P4/mmm (123)
1.0
4.8206 0.0000 0.0000
0.0000 4.8206 0.0000
0.0000 0.0000 3.8066
Zr Os C Cl
1 1 1 2
Cartesian
0.0000 0.0000 0.0000 Zr
2.4103 2.4103 1.9033 Os
2.4103 2.4103 0.0000 C
0.0000 2.4103 1.9033 Cl
2.4103 0.0000 1.9033 Cl

=====

PCCl2 (PBEsol, optimized geometry); formation energy without anion corrections = 521 kJ/mol of formula units; space group = R-3m (166)
1.0
2.9072 0.0000 0.0000
-1.4536 2.5177 0.0000
0.0000 0.0000 26.4509
P C Cl
3 3 6
Cartesian
0.0000 0.0000 0.0000 P
0.0000 1.6785 17.6339 P
1.4536 0.8392 8.8169 P
0.0000 0.0000 13.2254 C
0.0000 1.6785 4.4085 C
1.4536 0.8392 22.0424 C
0.0000 0.0000 11.6330 Cl
0.0000 0.0000 14.8179 Cl
0.0000 1.6785 2.8160 Cl
0.0000 1.6785 6.0010 Cl
1.4536 0.8392 20.4499 Cl
1.4536 0.8392 23.6349 Cl

=====

P2RhCCl (PBEsol, optimized geometry); formation energy without anion corrections = 547 kJ/mol of formula units; space group = P4/mmm (123)
1.0
3.9295 0.0000 0.0000
0.0000 3.9295 0.0000
0.0000 0.0000 4.1703
P Rh C Cl
2 1 1 1
Cartesian
0.0000 1.9648 0.0000 P
1.9648 0.0000 0.0000 P
0.0000 0.0000 2.0851 Rh
1.9648 1.9648 0.0000 C
1.9648 1.9648 2.0851 Cl

=====

TePCCl2 (PBEsol, optimized geometry); formation energy without anion corrections = 858 kJ/mol of formula units; space group = P4/mmm (123)
1.0
5.1451 0.0000 0.0000
0.0000 5.1451 0.0000
0.0000 0.0000 5.2606
Te P C Cl
1 1 1 2
Cartesian
0.0000 0.0000 0.0000 Te
0.0000 0.0000 2.6303 P
2.5725 2.5725 2.6303 C
0.0000 2.5725 0.0000 Cl
2.5725 0.0000 0.0000 Cl

=====

PbCCl2 (PBEsol, optimized geometry); formation energy without anion corrections = 401 kJ/mol of formula units; space group = Fd-3m (227)
1.0
0.0000 4.4703 4.4703
4.4703 0.0000 4.4703
4.4703 4.4703 0.0000
Pb C Cl
2 2 4
Cartesian
1.1176 1.1176 1.1176 Pb
7.8230 7.8230 7.8230 Pb
3.3527 3.3527 3.3527 C
5.5878 5.5878 5.5878 C
4.4703 2.2351 2.2351 Cl
2.2351 4.4703 2.2351 Cl
2.2351 2.2351 4.4703 Cl
4.4703 4.4703 4.4703 Cl

=====

Pb3CCl (PBEsol, optimized geometry); distance to the lowest polymorph of the same formula = 0.00 eV/f.u.; formation energy without anion corrections = 352 kJ/mol of formula units; space group = Pm-3m (221)
1.0
5.0285 0.0000 0.0000
0.0000 5.0285 0.0000
0.0000 0.0000 5.0285
Pb C Cl
3 1 1
Cartesian
0.0000 0.0000 2.5143 Pb
0.0000 2.5143 0.0000 Pb
2.5143 0.0000 0.0000 Pb
0.0000 0.0000 0.0000 C
2.5143 2.5143 2.5143 Cl

=====

PdCCl3 (PBEsol, optimized geometry); formation energy without anion corrections = 607 kJ/mol of formula units; space group = Pm-3m (221)
1.0
4.7136 0.0000 0.0000
0.0000 4.7136 0.0000
0.0000 0.0000 4.7136
Pd C Cl
1 1 3
Cartesian
0.0000 0.0000 0.0000 Pd
2.3568 2.3568 2.3568 C
0.0000 0.0000 2.3568 Cl
0.0000 2.3568 0.0000 Cl
2.3568 0.0000 0.0000 Cl

=====

Pr3CCl5 (PBEsol, optimized geometry); formation energy without anion corrections = -1577 kJ/mol of formula units; space group = C2/c (15)
1.0
6.9087 -4.3069 0.0000
6.9087 4.3069 0.0000
-2.0270 0.0000 15.5516
Pr C Cl
12 4 20
Cartesian
0.8659 0.7714 6.8052 Pr
2.3054 1.0869 12.3785 Pr
4.8635 1.2491 0.7248 Pr
-0.1476 -0.7714 14.5810 Pr
3.3189 -1.0869 4.6027 Pr
7.9403 1.2491 7.0510 Pr
3.8500 -1.2491 8.5006 Pr
8.4714 1.0869 10.9489 Pr
11.9379 0.7714 0.9706 Pr
6.9268 -1.2491 14.8268 Pr
9.4850 -1.0869 3.1731 Pr
10.9244 -0.7714 8.7464 Pr
1.2874 1.0256 14.4556 C
2.3009 -1.0256 6.6798 C
9.4894 1.0256 8.8718 C
10.5029 -1.0256 1.0960 C
1.2359 0.7881 3.9897 Cl
5.7964 3.1421 6.5056 Cl
2.4043 1.1946 9.2451 Cl
7.0075 3.1421 1.2702 Cl
0.2224 -0.7881 11.7655 Cl
4.5971 1.2800 3.6704 Cl
4.7252 1.0686 14.0114 Cl
3.4179 -1.1946 1.4693 Cl
6.0516 1.0686 9.3160 Cl
8.2068 1.2800 4.1054 Cl
3.5835 -1.2800 11.4462 Cl
5.7387 -1.0686 6.2356 Cl
8.3725 1.1946 14.0823 Cl
7.0651 -1.0686 1.5402 Cl
7.1933 -1.2800 11.8812 Cl
11.5679 0.7881 3.7860 Cl
4.7829 -3.1421 14.2814 Cl
9.3860 -1.1946 6.3065 Cl
5.9939 -3.1421 9.0460 Cl
10.5544 -0.7881 11.5618 Cl

=====

PtCCl3 (PBEsol, optimized geometry); formation energy without anion corrections = 686 kJ/mol of formula units; space group = Pm-3m (221)
1.0
4.2696 0.0000 0.0000
0.0000 4.2696 0.0000
0.0000 0.0000 4.2696
Pt C Cl
1 1 3
Cartesian
0.0000 0.0000 0.0000 Pt
2.1348 2.1348 2.1348 C
0.0000 2.1348 2.1348 Cl
2.1348 0.0000 2.1348 Cl
2.1348 2.1348 0.0000 Cl

=====

YPtCCl2 (PBEsol, optimized geometry); formation energy without anion corrections = 425 kJ/mol of formula units; space group = P4/mmm (123)
1.0
4.5619 0.0000 0.0000
0.0000 4.5619 0.0000
0.0000 0.0000 5.6453
Y Pt C Cl
1 1 1 2
Cartesian
0.0000 0.0000 0.0000 Y
0.0000 0.0000 2.8226 Pt
2.2809 2.2809 0.0000 C
0.0000 2.2809 2.8226 Cl
2.2809 0.0000 2.8226 Cl

=====

RbCCl3 (PBEsol, optimized geometry); formation energy without anion corrections = 689 kJ/mol of formula units; space group = Pm-3m (221)
1.0
6.1661 0.0000 0.0000
0.0000 6.1661 0.0000
0.0000 0.0000 6.1661
Rb C Cl
1 1 3
Cartesian
0.0000 0.0000 0.0000 Rb
3.0830 3.0830 3.0830 C
0.0000 0.0000 3.0830 Cl
0.0000 3.0830 0.0000 Cl
3.0830 0.0000 0.0000 Cl

=====

RbC3Cl (PBEsol, optimized geometry); formation energy without anion corrections = 2075 kJ/mol of formula units; space group = Pm-3m (221)
1.0
5.4965 0.0000 0.0000
0.0000 5.4965 0.0000
0.0000 0.0000 5.4965
Rb C Cl
1 3 1
Cartesian
0.0000 0.0000 0.0000 Rb
0.0000 0.0000 2.7482 C
0.0000 2.7482 0.0000 C
2.7482 0.0000 0.0000 C
2.7482 2.7482 2.7482 Cl

=====

ReCSCl2 (PBEsol, optimized geometry); formation energy without anion corrections = 862 kJ/mol of formula units; space group = P4/mmm (123)
1.0
4.0020 0.0000 0.0000
0.0000 4.0020 0.0000
0.0000 0.0000 4.1107
Re C S Cl
1 1 1 2
Cartesian
0.0000 0.0000 0.0000 Re
2.0010 2.0010 2.0554 C
2.0010 2.0010 0.0000 S
0.0000 2.0010 2.0554 Cl
2.0010 0.0000 2.0554 Cl

=====

RhCCl2 (PBEsol, optimized geometry); distance to the lowest polymorph of the same formula = 0.65 eV/f.u.; formation energy without anion corrections = 656 kJ/mol of formula units; space group = Fm-3m (225)
1.0
6.0282 0.0000 0.0000
0.0000 6.0282 0.0000
0.0000 0.0000 6.0282
Rh C Cl
4 4 8
Cartesian
0.0000 0.0000 0.0000 Rh
0.0000 3.0141 3.0141 Rh
3.0141 0.0000 3.0141 Rh
3.0141 3.0141 0.0000 Rh
0.0000 0.0000 3.0141 C
0.0000 3.0141 0.0000 C
3.0141 0.0000 0.0000 C
3.0141 3.0141 3.0141 C
1.5070 1.5070 1.5070 Cl
1.5070 1.5070 4.5211 Cl
1.5070 4.5211 1.5070 Cl
1.5070 4.5211 4.5211 Cl
4.5211 1.5070 1.5070 Cl
4.5211 1.5070 4.5211 Cl
4.5211 4.5211 1.5070 Cl
4.5211 4.5211 4.5211 Cl

=====

RhCCl2 (PBEsol, optimized geometry); distance to the lowest polymorph of the same formula = 0.00 eV/f.u.; formation energy without anion corrections = 593 kJ/mol of formula units; space group = I-42d (122)
1.0
6.3314 0.0000 0.0000
0.0000 6.3314 0.0000
0.0000 0.0000 5.8580
Rh C Cl
4 4 8
Cartesian
0.0000 0.0000 0.0000 Rh
0.0000 3.1657 1.4645 Rh
3.1657 0.0000 4.3935 Rh
3.1657 3.1657 2.9290 Rh
0.0000 0.0000 2.9290 C
0.0000 3.1657 4.3935 C
3.1657 0.0000 1.4645 C
3.1657 3.1657 0.0000 C
1.5652 4.7486 3.6612 Cl
1.5829 1.5652 2.1967 Cl
1.5829 1.6006 5.1257 Cl
1.6006 4.7486 0.7322 Cl
4.7309 1.5829 0.7322 Cl
4.7486 4.7309 5.1257 Cl
4.7486 4.7663 2.1967 Cl
4.7663 1.5829 3.6612 Cl

=====

RuRhCCl2 (PBEsol, optimized geometry); formation energy without anion corrections = 941 kJ/mol of formula units; space group = P4/mmm (123)
1.0
4.5019 0.0000 0.0000
0.0000 4.5019 0.0000
0.0000 0.0000 4.7431
Ru Rh C Cl
1 1 1 2
Cartesian
0.0000 0.0000 0.0000 Ru
0.0000 0.0000 2.3716 Rh
2.2509 2.2509 2.3716 C
0.0000 2.2509 0.0000 Cl
2.2509 0.0000 0.0000 Cl

=====

RuCSCl2 (PBEsol, optimized geometry); formation energy without anion corrections = 725 kJ/mol of formula units; space group = P4/mmm (123)
1.0
4.1101 0.0000 0.0000
0.0000 4.1101 0.0000
0.0000 0.0000 4.2649
Ru C S Cl
1 1 1 2
Cartesian
0.0000 0.0000 0.0000 Ru
2.0551 2.0551 2.1325 C
2.0551 2.0551 0.0000 S
0.0000 2.0551 2.1325 Cl
2.0551 0.0000 2.1325 Cl

=====

TcCSCl2 (PBEsol, optimized geometry); formation energy without anion corrections = 687 kJ/mol of formula units; space group = P4/mmm (123)
1.0
4.2008 0.0000 0.0000
0.0000 4.2008 0.0000
0.0000 0.0000 4.3852
Tc C S Cl
1 1 1 2
Cartesian
0.0000 0.0000 0.0000 Tc
2.1004 2.1004 2.1926 C
2.1004 2.1004 0.0000 S
0.0000 2.1004 2.1926 Cl
2.1004 0.0000 2.1926 Cl

=====

TcCS2Cl (PBEsol, optimized geometry); formation energy without anion corrections = 640 kJ/mol of formula units; space group = P4/mmm (123)
1.0
3.9822 0.0000 0.0000
0.0000 3.9822 0.0000
0.0000 0.0000 4.0124
Tc C S Cl
1 1 2 1
Cartesian
0.0000 0.0000 0.0000 Tc
1.9911 1.9911 2.0062 C
0.0000 1.9911 2.0062 S
1.9911 0.0000 2.0062 S
1.9911 1.9911 0.0000 Cl

=====

ZnCS2Cl (PBEsol, optimized geometry); formation energy without anion corrections = 803 kJ/mol of formula units; space group = P4/mmm (123)
1.0
4.6105 0.0000 0.0000
0.0000 4.6105 0.0000
0.0000 0.0000 4.6160
Zn C S Cl
1 1 2 1
Cartesian
0.0000 0.0000 0.0000 Zn
2.3053 2.3053 2.3080 C
0.0000 2.3053 0.0000 S
2.3053 0.0000 0.0000 S
0.0000 0.0000 2.3080 Cl

=====

Sc2CCl (PBEsol, optimized geometry); formation energy without anion corrections = -140 kJ/mol of formula units; space group = Fm-3m (225)
1.0
6.0655 0.0000 0.0000
0.0000 6.0655 0.0000
0.0000 0.0000 6.0655
Sc C Cl
8 4 4
Cartesian
1.5164 1.5164 1.5164 Sc
1.5164 1.5164 4.5491 Sc
1.5164 4.5491 1.5164 Sc
1.5164 4.5491 4.5491 Sc
4.5491 1.5164 1.5164 Sc
4.5491 1.5164 4.5491 Sc
4.5491 4.5491 1.5164 Sc
4.5491 4.5491 4.5491 Sc
0.0000 0.0000 0.0000 C
0.0000 3.0328 3.0328 C
3.0328 0.0000 3.0328 C
3.0328 3.0328 0.0000 C
0.0000 0.0000 3.0328 Cl
0.0000 3.0328 0.0000 Cl
3.0328 0.0000 0.0000 Cl
3.0328 3.0328 3.0328 Cl

=====

ScCCl2 (PBEsol, optimized geometry); formation energy without anion corrections = -19 kJ/mol of formula units; space group = I-42d (122)
1.0
9.1218 0.0000 0.0000
0.0000 9.1218 0.0000
0.0000 0.0000 4.4550
Sc C Cl
4 4 8
Cartesian
0.0000 0.0000 0.0000 Sc
0.0000 4.5609 1.1137 Sc
4.5609 0.0000 3.3412 Sc
4.5609 4.5609 2.2275 Sc
0.0000 0.0000 2.2275 C
0.0000 4.5609 3.3412 C
4.5609 0.0000 1.1137 C
4.5609 4.5609 0.0000 C
0.8322 6.8414 0.5569 Cl
2.2805 0.8322 3.8981 Cl
2.2805 3.7287 1.6706 Cl
3.7287 6.8414 2.7844 Cl
5.3931 2.2805 2.7844 Cl
6.8414 5.3931 1.6706 Cl
6.8414 8.2896 3.8981 Cl
8.2896 2.2805 0.5569 Cl

=====

TiC2SeCl (PBEsol, optimized geometry); formation energy without anion corrections = 831 kJ/mol of formula units; space group = P4/mmm (123)
1.0
3.8285 0.0000 0.0000
0.0000 3.8285 0.0000
0.0000 0.0000 5.1354
Ti C Se Cl
1 2 1 1
Cartesian
0.0000 0.0000 0.0000 Ti
0.0000 1.9143 2.5677 C
1.9143 0.0000 2.5677 C
0.0000 0.0000 2.5677 Se
1.9143 1.9143 0.0000 Cl

=====

SiCCl3 (PBEsol, optimized geometry); formation energy without anion corrections = 477 kJ/mol of formula units; space group = Pm-3m (221)
1.0
4.3513 0.0000 0.0000
0.0000 4.3513 0.0000
0.0000 0.0000 4.3513
Si C Cl
1 1 3
Cartesian
0.0000 0.0000 0.0000 Si
2.1757 2.1757 2.1757 C
0.0000 2.1757 2.1757 Cl
2.1757 0.0000 2.1757 Cl
2.1757 2.1757 0.0000 Cl